1.
Here is an optimized crystal structure of Sr2ScIr3O12 from Alexandria via LeMat-Bulk. Energies are from PBE-GGA.

Calculated volume (Å³ per atom): 13.36
Energy relative to the elements, uncorrected (eV/atom): -1.46

Cell and atoms, written as CIF:
```
data_Sr2ScIr3O12
_chemical_formula_sum 'Sr6 Sc3 Ir9 O36'
_cell_length_a 7.2296
_cell_length_b 7.2296
_cell_length_c 15.9339
_cell_angle_alpha 90.00
_cell_angle_beta 90.00
_cell_angle_gamma 120.00
_symmetry_space_group_name_H-M 'R -3 m'
_symmetry_Int_Tables_number 166
_symmetry_space_group_name_Hall '-R 3 2"'
loop_
_atom_site_label
_atom_site_type_symbol
_atom_site_fract_x
_atom_site_fract_y
_atom_site_fract_z
Sr1 Sr 0.0000 0.0000 0.1152
Sc1 Sc 0.0000 0.0000 0.5000
Ir1 Ir 0.0000 0.5000 0.0000
O1 O 0.0039 0.5020 0.1199
O2 O 0.0461 0.5231 0.3339
```

***

2.
Here is an optimized crystal structure of SrScIrO6 from Alexandria via LeMat-Bulk. Energies are from PBE-GGA.

Calculated volume (Å³ per atom): 14.77
Energy relative to the elements, uncorrected (eV/atom): -1.91

Cell and atoms, written as CIF:
```
data_SrScIrO6
_chemical_formula_sum 'Sr1 Sc1 Ir1 O6'
_cell_length_a 5.3575
_cell_length_b 5.3575
_cell_length_c 5.3489
_cell_angle_alpha 90.00
_cell_angle_beta 90.00
_cell_angle_gamma 120.00
_symmetry_space_group_name_H-M 'P 3 1 2'
_symmetry_Int_Tables_number 149
_symmetry_space_group_name_Hall 'P 3 2'
loop_
_atom_site_label
_atom_site_type_symbol
_atom_site_fract_x
_atom_site_fract_y
_atom_site_fract_z
Sr1 Sr 0.0000 0.0000 0.0000
Sc1 Sc 0.3333 0.6667 0.5000
Ir1 Ir 0.6667 0.3333 0.5000
O1 O 0.3833 0.0257 0.7038
```